1.
VASP calculation (PBE) on a geometry-optimized Rb4La3HoTe8 structure.

Values from the calculation:
Total DFT energy (no corrections), eV per atom: -4.482
Crystal system: trigonal
Uncorrected formation energy, kcal/mol of atoms: -33.6

Cell: 9.3723 9.3723 25.6311 Å, 90.00 90.00 120.00°
Last column: nearest neighbours and their distance in Å.
Space group R-3m (No. 166, hexagonal axes)
Inequivalent atoms, fractional coordinates:
1 Rb 0.0000 0.0000 0.0000  6 Te 3.78
2 Rb 0.0000 0.5000 0.0000  6 Te 3.68
3 La 0.0000 0.5000 0.5000  6 Te 3.24-3.25
4 Ho 0.0000 0.0000 0.5000  6 Te 3.14
5 Te 0.0000 0.0000 0.2360  3 La 3.24
6 Te 0.0111 0.5056 0.2343  1 Ho 3.14, 2 La 3.25

---

2.
VASP calculation (PBE) on a geometry-optimized LaHo2Re structure.

Values from the calculation:
Total DFT energy (no corrections), eV per atom: -5.821
Crystal system: trigonal
E_form, eV per atom: 0.812

Cell: 3.2444 3.2444 34.4639 Å, 90.00 90.00 120.00°
Last column: nearest neighbours and their distance in Å.
Space group R-3m (No. 166, hexagonal axes)
Inequivalent atoms, fractional coordinates:
1 La 0.0000 0.0000 0.0000  6 La 3.24, 6 Ho 3.61
2 Ho 0.0000 0.0000 0.4228  1 Re 2.66
3 Re 0.0000 0.0000 0.5000  2 Ho 2.66